Entry 1:
# AlCdRe

A relaxed AlCdRe crystal (PBE-GGA, OQMD).

```
AlCdRe
1.0
6.2457 0.0000 0.0000
0.0000 6.2457 0.0000
0.0000 0.0000 6.2457
Al Cd Re
4 4 4
direct
0.0000 0.0000 0.0000
0.0000 0.5000 0.5000
0.5000 0.0000 0.5000
0.5000 0.5000 0.0000
0.0000 0.0000 0.5000
0.0000 0.5000 0.0000
0.5000 0.0000 0.0000
0.5000 0.5000 0.5000
0.2500 0.2500 0.2500
0.2500 0.7500 0.7500
0.7500 0.2500 0.7500
0.7500 0.7500 0.2500
```

**Excess energy over the best structure of this formula in the dataset**: 0.00 eV per formula unit
**Total moment**: 1.44 μB/f.u.


Entry 2:
# Al2CdS4

A relaxed Al2CdS4 crystal (PBE-GGA, OQMD).

```
Al2CdS4
1.0
7.3476 0.0000 0.0000
0.0000 7.3476 0.0000
0.0000 0.0000 10.2132
Al Cd S
8 4 16
direct
0.0000 0.2542 0.0000
0.0000 0.7458 0.5000
0.2392 0.2392 0.3750
0.2392 0.7608 0.1250
0.2542 0.0000 0.7500
0.7458 0.0000 0.2500
0.7608 0.2392 0.6250
0.7608 0.7608 0.8750
0.2553 0.5000 0.7500
0.5000 0.2553 0.0000
0.5000 0.7447 0.5000
0.7447 0.5000 0.2500
0.0128 0.2305 0.7628
0.0128 0.7695 0.7372
0.2305 0.0128 0.9872
0.2305 0.9872 0.5128
0.2306 0.4910 0.0134
0.2306 0.5090 0.4866
0.4910 0.2306 0.7366
0.4910 0.7694 0.7634
0.5090 0.2306 0.2634
0.5090 0.7694 0.2366
0.7694 0.4910 0.9866
0.7694 0.5090 0.5134
0.7695 0.0128 0.0128
0.7695 0.9872 0.4872
0.9872 0.2305 0.2372
0.9872 0.7695 0.2628
```

**Raw total energy**: -123.70 eV/cell


Entry 3:
# Al2CdS4

A relaxed Al2CdS4 crystal (PBE-GGA, OQMD).

```
Al2CdS4
1.0
5.6150 0.0000 0.0000
0.0029 5.6170 0.0000
2.8068 2.7998 5.1185
Al Cd S
2 1 4
direct
0.0000 0.0000 0.0000
0.2500 0.7506 0.4996
0.7504 0.2516 0.4997
0.1505 0.6642 0.2299
0.3350 0.3807 0.7691
0.6194 0.1051 0.2313
0.8946 0.8511 0.7686
```

**Raw total energy**: -31.72 eV/cell


Entry 4:
# Al2CdSeS3

A relaxed Al2CdSeS3 crystal (PBE-GGA, OQMD).

```
Al2CdSeS3
1.0
5.6429 0.0000 0.0000
-0.0769 5.6873 0.0000
-2.7602 -2.7650 5.1752
Al Cd Se S
2 1 1 3
direct
0.0000 0.0000 0.0000
0.2558 0.7669 0.5097
0.4918 0.5098 0.0017
0.9033 0.3717 0.2870
0.1018 0.0929 0.7344
0.3554 0.9063 0.2692
0.6289 0.6547 0.7346
```

**Raw total energy**: -30.78 eV/cell


Entry 5:
# Al2CdTe2S2

A relaxed Al2CdTe2S2 crystal (PBE-GGA, OQMD).

```
Al2CdTe2S2
1.0
5.8943 0.0000 0.0000
-0.0502 6.0307 0.0000
-2.8013 -2.7664 5.5439
Al Cd Te S
2 1 2 2
direct
0.0000 0.0000 0.0000
0.2120 0.7812 0.4950
0.4926 0.5456 0.9866
0.3781 0.3941 0.2842
0.6291 0.1253 0.7089
0.1025 0.6848 0.7420
0.8966 0.9036 0.2494
```

**Raw total energy**: -27.76 eV/cell


Entry 6:
# Al2CdTeS3

A relaxed Al2CdTeS3 crystal (PBE-GGA, OQMD).

```
Al2CdTeS3
1.0
5.7033 0.0000 0.0000
-0.2310 5.8767 0.0000
-2.6469 -2.6975 5.3256
Al Cd Te S
2 1 1 3
direct
0.0000 0.0000 0.0000
0.2635 0.7914 0.5253
0.4817 0.5232 0.0041
0.8902 0.3768 0.3068
0.1109 0.1015 0.7431
0.3467 0.9068 0.2623
0.6253 0.6780 0.7435
```

**Raw total energy**: -29.69 eV/cell


Entry 7:
# Al2CdTe2S2

A relaxed Al2CdTe2S2 crystal (PBE-GGA, OQMD).

```
Al2CdTe2S2
1.0
8.2489 0.0000 0.0000
0.0000 10.9102 0.0000
-3.9667 0.0000 4.3583
Al Cd Te S
4 2 4 4
direct
0.0000 0.0000 0.0000
0.0000 0.2209 0.5000
0.5000 0.5000 0.0000
0.5000 0.7209 0.5000
0.0000 0.4927 0.0000
0.5000 0.9927 0.0000
0.2149 0.8470 0.4686
0.2851 0.3470 0.5314
0.7149 0.3470 0.4686
0.7851 0.8470 0.5314
0.2078 0.1200 0.9602
0.2922 0.6200 0.0398
0.7078 0.6200 0.9602
0.7922 0.1200 0.0398
```

**Raw total energy**: -55.53 eV/cell


Entry 8:
# Al2CdSb

A relaxed Al2CdSb crystal (PBE-GGA, OQMD).

```
Al2CdSb
1.0
7.0738 0.0000 0.0000
0.0000 7.0738 0.0000
0.0000 0.0000 7.0738
Al Cd Sb
8 4 4
direct
0.0000 0.0000 0.0000
0.0000 0.5000 0.5000
0.2500 0.2500 0.2500
0.2500 0.7500 0.7500
0.5000 0.0000 0.5000
0.5000 0.5000 0.0000
0.7500 0.2500 0.7500
0.7500 0.7500 0.2500
0.2500 0.2500 0.7500
0.2500 0.7500 0.2500
0.7500 0.2500 0.2500
0.7500 0.7500 0.7500
0.0000 0.0000 0.5000
0.0000 0.5000 0.0000
0.5000 0.0000 0.0000
0.5000 0.5000 0.5000
```

**Raw total energy**: -45.85 eV/cell


Entry 9:
# AlCdSb2

A relaxed AlCdSb2 crystal (PBE-GGA, OQMD).

```
AlCdSb2
1.0
7.3321 0.0000 0.0000
0.0000 7.3321 0.0000
0.0000 0.0000 7.3321
Al Cd Sb
4 4 8
direct
0.0000 0.0000 0.0000
0.0000 0.5000 0.5000
0.5000 0.0000 0.5000
0.5000 0.5000 0.0000
0.2500 0.2500 0.2500
0.2500 0.7500 0.7500
0.7500 0.2500 0.7500
0.7500 0.7500 0.2500
0.0000 0.0000 0.5000
0.0000 0.5000 0.0000
0.2500 0.2500 0.7500
0.2500 0.7500 0.2500
0.5000 0.0000 0.0000
0.5000 0.5000 0.5000
0.7500 0.2500 0.2500
0.7500 0.7500 0.7500
```

**Raw total energy**: -47.57 eV/cell


Entry 10:
# AlCdSb

A relaxed AlCdSb crystal (PBE-GGA, OQMD).

```
AlCdSb
1.0
6.7539 0.0000 0.0000
0.0000 6.7539 0.0000
0.0000 0.0000 6.7539
Al Cd Sb
4 4 4
direct
0.0000 0.0000 0.0000
0.0000 0.5000 0.5000
0.5000 0.0000 0.5000
0.5000 0.5000 0.0000
0.2500 0.2500 0.7500
0.2500 0.7500 0.2500
0.7500 0.2500 0.2500
0.7500 0.7500 0.7500
0.2500 0.2500 0.2500
0.2500 0.7500 0.7500
0.7500 0.2500 0.7500
0.7500 0.7500 0.2500
```

**Excess energy over the best structure of this formula in the dataset**: 0.00 eV per formula unit


Entry 11:
# Sc3Al2Cd

A relaxed Sc3Al2Cd crystal (PBE-GGA, OQMD).

```
Sc3Al2Cd
1.0
3.2784 0.0000 0.0000
0.0000 3.2784 0.0000
0.0000 0.0000 11.2535
Sc Al Cd
3 2 1
direct
0.0000 0.0000 0.0000
0.0000 0.0000 0.3201
0.0000 0.0000 0.6799
0.5000 0.5000 0.1619
0.5000 0.5000 0.8381
0.5000 0.5000 0.5000
```

**Raw total energy**: -29.77 eV/cell
**Total moment**: 0.00 μB/f.u.


Entry 12:
# ScAlCd2

A relaxed ScAlCd2 crystal (PBE-GGA, OQMD).

```
ScAlCd2
1.0
6.8514 0.0000 0.0000
0.0000 6.8514 0.0000
0.0000 0.0000 6.8514
Sc Al Cd
4 4 8
direct
0.0000 0.0000 0.0000
0.0000 0.5000 0.5000
0.5000 0.0000 0.5000
0.5000 0.5000 0.0000
0.2500 0.2500 0.7500
0.2500 0.7500 0.2500
0.7500 0.2500 0.2500
0.7500 0.7500 0.7500
0.0000 0.0000 0.5000
0.0000 0.5000 0.0000
0.2500 0.2500 0.2500
0.2500 0.7500 0.7500
0.5000 0.0000 0.0000
0.5000 0.5000 0.5000
0.7500 0.2500 0.7500
0.7500 0.7500 0.2500
```

**Raw total energy**: -49.58 eV/cell
**Total moment**: 0.00 μB/f.u.